# 1
DFT (PBE-GGA) results for HfCo2Sn2 after structural relaxation.

Cell lengths 7.267, 7.267, 3.164 Å; angles 90.00, 90.00, 90.00 degrees
Fractional coordinates of all 10 atoms:
Sn  0.838  0.338  0.500
Sn  0.162  0.662  0.500
Co  0.632  0.132  0.000
Co  0.132  0.368  0.000
Sn  0.338  0.162  0.500
Co  0.868  0.632  0.000
Hf  0.500  0.500  0.000
Hf  0.000  0.000  0.000
Co  0.368  0.868  0.000
Sn  0.662  0.838  0.500

Computed properties:
energy relative to the elements: -0.0768 eV/atom
Fermi-level density of states: 0.93 states/eV/atom
energy above the most stable polymorph in this dataset: 0.224 eV per atom
space group: P4/mbm (127)

---

# 2
DFT (PBE-GGA) results for HfTlCo2Sn after structural relaxation.

Cell lengths 4.640, 5.613, 4.640 Å; angles 90.00, 90.00, 90.00 degrees
Fractional coordinates of all 5 atoms:
Co  0.000  0.000  0.500
Sn  0.500  0.500  0.500
Hf  0.000  0.000  0.000
Tl  0.000  0.500  0.000
Co  0.500  0.000  0.000

Computed properties:
energy relative to the elements: 1.1204 eV/atom
Fermi-level density of states: 1.11 states/eV/atom
space group: P4/mmm (123)

---

# 3
DFT (PBE-GGA) results for HfZnCoSn after structural relaxation.

Cell lengths 4.536, 4.536, 4.536 Å; angles 60.00, 60.00, 60.00 degrees
Fractional coordinates of all 4 atoms:
Co  0.000  0.000  0.000
Hf  0.750  0.750  0.750
Zn  0.500  0.500  0.500
Sn  0.250  0.250  0.250

Computed properties:
energy relative to the elements: -0.1289 eV/atom
Fermi-level density of states: 0.75 states/eV/atom
space group: F-43m (216)

---

# 4
DFT (PBE-GGA) results for HfZrCoSn2 after structural relaxation.

Cell lengths 5.335, 4.392, 5.335 Å; angles 90.00, 90.00, 90.00 degrees
Fractional coordinates of all 5 atoms:
Co  0.000  0.500  0.000
Hf  0.000  0.000  0.000
Zr  0.500  0.500  0.500
Sn  0.500  0.000  0.000
Sn  0.000  0.000  0.500

Computed properties:
energy relative to the elements: 0.8040 eV/atom
Fermi-level density of states: 0.75 states/eV/atom
energy above the most stable polymorph in this dataset: 0.634 eV per atom
space group: P4/mmm (123)

---

# 5
DFT (PBE-GGA) results for HfZrCoSn2 after structural relaxation.

Cell lengths 4.796, 4.780, 4.796 Å; angles 90.00, 90.00, 90.00 degrees
Fractional coordinates of all 5 atoms:
Hf  0.000  0.500  0.000
Co  0.000  0.000  0.000
Sn  0.500  0.000  0.000
Sn  0.000  0.000  0.500
Zr  0.500  0.500  0.500

Computed properties:
energy relative to the elements: 0.1697 eV/atom
Fermi-level density of states: 1.04 states/eV/atom
energy above the most stable polymorph in this dataset: 0.000 eV per atom
space group: P4/mmm (123)

---

# 6
DFT (PBE-GGA) results for SrHfCo2 after structural relaxation.

Cell lengths 7.143, 7.143, 5.969 Å; angles 53.25, 53.25, 90.00 degrees
Fractional coordinates of all 8 atoms:
Sr  0.500  0.500  0.000
Co  0.667  0.125  0.250
Hf  0.000  0.000  0.000
Co  0.083  0.625  0.250
Sr  0.250  0.750  0.500
Co  0.875  0.917  0.750
Hf  0.750  0.250  0.500
Co  0.375  0.333  0.750

Computed properties:
energy relative to the elements: 0.5956 eV/atom
Fermi-level density of states: 0.48 states/eV/atom
energy above the most stable polymorph in this dataset: 0.226 eV per atom
space group: I-42d (122)

---

# 7
DFT (PBE-GGA) results for Sr3HfCo after structural relaxation.

Cell lengths 5.638, 5.638, 5.638 Å; angles 90.00, 90.00, 90.00 degrees
Fractional coordinates of all 5 atoms:
Hf  0.500  0.500  0.500
Sr  0.500  0.000  0.000
Sr  0.000  0.500  0.000
Co  0.000  0.000  0.000
Sr  0.000  0.000  0.500

Computed properties:
energy relative to the elements: 0.8652 eV/atom
Fermi-level density of states: 2.92 states/eV/atom
energy above the most stable polymorph in this dataset: 0.000 eV per atom
space group: Pm-3m (221)

---

# 8
DFT (PBE-GGA) results for SrHf3Co after structural relaxation.

Cell lengths 5.010, 5.010, 5.010 Å; angles 90.00, 90.00, 90.00 degrees
Fractional coordinates of all 5 atoms:
Co  0.500  0.500  0.500
Hf  0.500  0.000  0.000
Hf  0.000  0.500  0.000
Hf  0.000  0.000  0.500
Sr  0.000  0.000  0.000

Computed properties:
energy relative to the elements: 2.5135 eV/atom
Fermi-level density of states: 2.38 states/eV/atom
energy above the most stable polymorph in this dataset: 2.235 eV per atom
space group: Pm-3m (221)

---

# 9
DFT (PBE-GGA) results for Sr3HfCo after structural relaxation.

Cell lengths 6.116, 6.116, 6.116 Å; angles 90.00, 90.00, 90.00 degrees
Fractional coordinates of all 5 atoms:
Co  0.500  0.500  0.500
Sr  0.000  0.000  0.500
Sr  0.500  0.000  0.000
Hf  0.000  0.000  0.000
Sr  0.000  0.500  0.000

Computed properties:
energy relative to the elements: 1.5473 eV/atom
Fermi-level density of states: 2.73 states/eV/atom
energy above the most stable polymorph in this dataset: 0.682 eV per atom
space group: Pm-3m (221)

---

# 10
DFT (PBE-GGA) results for Sr2HfCo after structural relaxation.

Cell lengths 11.482, 11.482, 8.440 Å; angles 47.14, 47.14, 90.00 degrees
Fractional coordinates of all 8 atoms:
Sr  0.459  0.125  0.250
Co  0.250  0.750  0.500
Sr  0.375  0.541  0.750
Sr  0.875  0.709  0.750
Hf  0.750  0.250  0.500
Co  0.500  0.500  0.000
Sr  0.291  0.625  0.250
Hf  0.000  0.000  0.000

Computed properties:
energy relative to the elements: 0.5443 eV/atom
Fermi-level density of states: 0.85 states/eV/atom
energy above the most stable polymorph in this dataset: 0.000 eV per atom
space group: I-42d (122)